A plane-wave DFT calculation with GGA-PBE was carried out for a relaxed structure of BaCa2Tl.

CIF file:
```
data_BaCa2Tl
_cell_length_a 4.109
_cell_length_b 6.262
_cell_length_c 12.606
_cell_angle_alpha 90.00
_cell_angle_beta 90.00
_cell_angle_gamma 90.00
_symmetry_space_group_name_H-M 'I m m m'
_symmetry_Int_Tables_number 71
_symmetry_space_group_name_Hall '-I 2 2'
loop_
_atom_site_label
_atom_site_type_symbol
_atom_site_fract_x
_atom_site_fract_y
_atom_site_fract_z
Ba1 Ba 0.000 0.000 0.000
Ca1 Ca 0.000 0.500 0.204
Tl1 Tl 0.000 0.000 0.500
```

Values from the calculation:
As for the formation enthalpy at 0 K: -0.86 eV/f.u. The electronic total energy comes out at -2.2871 eV per atom. The distance to the lowest polymorph of the same formula comes out at 0.038 eV/atom. The density of states at the Fermi level comes out at 7.44 states/eV/cell.